DFT (PBE-GGA) results for an optimized crystal structure of RbCuSe3.

Values from the calculation:
Its energy relative to the elements, uncorrected is -221 kJ/mol of formula units. The calculation puts the density at 4.29 g cm⁻³. The density of states at the Fermi level is 2.8 states/eV/f.u. Its crystal system is triclinic. As for the space-group type: P-1.

Geometry as extended XYZ:
```
10
Lattice="5.7743 0.0000 0.0000 1.8467 6.1621 0.0000 1.8627 0.0041 8.3921" Properties=species:S:1:pos:R:3 pbc="T T T"
Rb 1.8908 1.1637 2.3553
Rb 7.5929 5.0025 6.0367
Cu 4.6058 2.4883 7.0953
Cu 4.8779 3.6780 1.2968
Se 2.5844 1.3086 6.7329
Se 2.8774 4.4339 0.0866
Se 3.9697 3.6937 3.5151
Se 5.5140 2.4725 4.8770
Se 6.6063 1.7323 8.3054
Se 6.8993 4.8577 1.6591
```